HfMnF6 | GGA+U | relaxed

Cell: 5.1833 5.1833 5.2859 Å, 96.16 96.16 118.66°
With the nearest neighbours (Å) after each atom.
Sites, in units of the cell vectors:
Hf1 0.0000 0.0000 0.0000  6 F 2.01-2.02
Mn1 0.5000 0.5000 0.5000  6 F 2.10-2.20
F1 0.0850 0.3765 0.2344  1 Hf 2.02, 1 Mn 2.20
F2 0.2467 0.2467 0.7581  1 Hf 2.01, 1 Mn 2.10
F3 0.3765 0.0850 0.2344  1 Hf 2.02, 1 Mn 2.20
F4 0.6235 0.9150 0.7656  1 Hf 2.02, 1 Mn 2.20
F5 0.7533 0.7533 0.2419  1 Hf 2.01, 1 Mn 2.10
F6 0.9150 0.6235 0.7656  1 Hf 2.02, 1 Mn 2.20

Output
Symmetry ... No. 12
DFT total energy ... -6.94 eV per atom